Entry from Alexandria via LeMat-Bulk: LiCe3Se4 after structural relaxation (PBE).

ΔE_f (raw): -1708 meV/atom
Symmetry: R-3m, No. 166
Density of states at the Fermi level: 17.9 states/eV/cell
Crystal system: trigonal
Excess energy over the best structure of this formula in the dataset: 2.4 meV/atom

Lattice parameters (Å, degrees): 4.1855 4.1855 13.6535 81.18 81.18 60.00
Fractional coordinates of all 8 atoms:
Li: 0.0000 0.0000 0.0000
Ce: 0.7472 0.7472 0.7584
Ce: 0.5000 0.5000 0.5000
Ce: 0.2528 0.2528 0.2416
Se: 0.6281 0.6281 0.1158
Se: 0.8765 0.8765 0.3704
Se: 0.3719 0.3719 0.8842
Se: 0.1235 0.1235 0.6296